1.
PaTaTiNb | PBE | optimized geometry

Total magnetization (μB/cell): 0.0
Energy of formation from the pure elements (eV per atom): 0.0942
Excess energy over the best structure of this formula in the dataset (eV/atom): 0.079
D(E_F) (states/eV/cell): 28.4
Raw total energy (eV/cell): -155.75
SG: F-43m (216)

a = 6.776 Å, b = 6.776 Å, c = 6.776 Å
α = 90.00°, β = 90.00°, γ = 90.00°
Fractional coordinates of all 16 atoms:
Pa: 0.000 0.000 0.000
Pa: 0.000 0.500 0.500
Pa: 0.500 0.000 0.500
Pa: 0.500 0.500 0.000
Ta: 0.250 0.250 0.250
Ta: 0.250 0.750 0.750
Ta: 0.750 0.250 0.750
Ta: 0.750 0.750 0.250
Ti: 0.250 0.250 0.750
Ti: 0.250 0.750 0.250
Ti: 0.750 0.250 0.250
Ti: 0.750 0.750 0.750
Nb: 0.000 0.000 0.500
Nb: 0.000 0.500 0.000
Nb: 0.500 0.000 0.000
Nb: 0.500 0.500 0.500

---

2.
BaZn2In2 | PBE | optimized geometry

Total magnetization (μB/cell): 0.0
Energy of formation from the pure elements (eV per atom): -0.0731
D(E_F) (states/eV/cell): 5.7
Raw total energy (eV/cell): -20.63
SG: P4/mbm (127)

a = 8.603 Å, b = 8.603 Å, c = 3.568 Å
α = 90.00°, β = 90.00°, γ = 90.00°
Fractional coordinates of all 10 atoms:
Ba: 0.000 0.000 0.000
Ba: 0.500 0.500 0.000
Zn: 0.120 0.380 0.000
Zn: 0.380 0.880 0.000
Zn: 0.620 0.120 0.000
Zn: 0.880 0.620 0.000
In: 0.161 0.661 0.500
In: 0.339 0.161 0.500
In: 0.661 0.839 0.500
In: 0.839 0.339 0.500

---

3.
Zn5Ga12Ag3 | PBE | optimized geometry

Total magnetization (μB/cell): 0.0
Energy of formation from the pure elements (eV per atom): 0.1697
D(E_F) (states/eV/cell): 44.1
Raw total energy (eV/cell): -191.41
SG: Ia-3d (230)

a = 13.106 Å, b = 13.106 Å, c = 13.106 Å
α = 109.47°, β = 109.47°, γ = 109.47°
Fractional coordinates of all 80 atoms:
Zn: 0.000 0.000 0.000
Zn: 0.000 0.000 0.500
Zn: 0.000 0.500 0.000
Zn: 0.000 0.500 0.500
Zn: 0.125 0.750 0.875
Zn: 0.125 0.875 0.250
Zn: 0.250 0.125 0.875
Zn: 0.250 0.625 0.375
Zn: 0.375 0.250 0.625
Zn: 0.375 0.625 0.750
Zn: 0.500 0.000 0.000
Zn: 0.500 0.000 0.500
Zn: 0.500 0.500 0.000
Zn: 0.500 0.500 0.500
Zn: 0.625 0.375 0.250
Zn: 0.625 0.750 0.375
Zn: 0.750 0.375 0.625
Zn: 0.750 0.875 0.125
Zn: 0.875 0.125 0.750
Zn: 0.875 0.250 0.125
Ga: 0.064 0.229 0.142
Ga: 0.064 0.335 0.923
Ga: 0.077 0.642 0.412
Ga: 0.077 0.936 0.665
Ga: 0.088 0.729 0.665
Ga: 0.088 0.858 0.423
Ga: 0.142 0.064 0.229
Ga: 0.142 0.577 0.912
Ga: 0.165 0.229 0.588
Ga: 0.165 0.436 0.577
Ga: 0.229 0.142 0.064
Ga: 0.229 0.588 0.165
Ga: 0.271 0.335 0.912
Ga: 0.271 0.436 0.358
Ga: 0.335 0.912 0.271
Ga: 0.335 0.923 0.064
Ga: 0.358 0.271 0.436
Ga: 0.358 0.588 0.923
Ga: 0.412 0.077 0.642
Ga: 0.412 0.835 0.771
Ga: 0.423 0.088 0.858
Ga: 0.423 0.835 0.564
Ga: 0.436 0.358 0.271
Ga: 0.436 0.577 0.165
Ga: 0.564 0.423 0.835
Ga: 0.564 0.642 0.729
Ga: 0.577 0.165 0.436
Ga: 0.577 0.912 0.142
Ga: 0.588 0.165 0.229
Ga: 0.588 0.923 0.358
Ga: 0.642 0.412 0.077
Ga: 0.642 0.729 0.564
Ga: 0.665 0.077 0.936
Ga: 0.665 0.088 0.729
Ga: 0.729 0.564 0.642
Ga: 0.729 0.665 0.088
Ga: 0.771 0.412 0.835
Ga: 0.771 0.858 0.936
Ga: 0.835 0.564 0.423
Ga: 0.835 0.771 0.412
Ga: 0.858 0.423 0.088
Ga: 0.858 0.936 0.771
Ga: 0.912 0.142 0.577
Ga: 0.912 0.271 0.335
Ga: 0.923 0.064 0.335
Ga: 0.923 0.358 0.588
Ga: 0.936 0.665 0.077
Ga: 0.936 0.771 0.858
Ag: 0.125 0.250 0.375
Ag: 0.125 0.375 0.750
Ag: 0.250 0.375 0.125
Ag: 0.250 0.875 0.625
Ag: 0.375 0.125 0.250
Ag: 0.375 0.750 0.125
Ag: 0.625 0.250 0.875
Ag: 0.625 0.875 0.750
Ag: 0.750 0.125 0.375
Ag: 0.750 0.625 0.875
Ag: 0.875 0.625 0.250
Ag: 0.875 0.750 0.625

---

4.
NaDy2Ho3Te6 | PBE | optimized geometry

Total magnetization (μB/cell): 0.0
D(E_F) (states/eV/cell): 4.3
Raw total energy (eV/cell): -58.53
SG: C2/m (12)
Formation energy (no corrections) (meV per atom): -1285

a = 9.780 Å, b = 9.780 Å, c = 8.780 Å
α = 103.21°, β = 103.21°, γ = 25.67°
Fractional coordinates of all 12 atoms:
Na: 0.000 0.000 0.000
Dy: 0.330 0.330 0.656
Dy: 0.670 0.670 0.344
Ho: 0.000 0.000 0.500
Ho: 0.336 0.336 0.175
Ho: 0.664 0.664 0.825
Te: 0.165 0.165 0.585
Te: 0.169 0.169 0.083
Te: 0.498 0.498 0.747
Te: 0.502 0.502 0.253
Te: 0.831 0.831 0.917
Te: 0.835 0.835 0.415

---

5.
CrCoBTe2 | PBE | optimized geometry

Total magnetization (μB/cell): 1.0
D(E_F) (states/eV/cell): 7.2
Raw total energy (eV/cell): -24.76
SG: P4/mmm (123)
Formation energy (no corrections) (meV per atom): 987

a = 4.813 Å, b = 4.813 Å, c = 3.723 Å
α = 90.00°, β = 90.00°, γ = 90.00°
Fractional coordinates of all 5 atoms:
Cr: 0.000 0.000 0.000
Co: 0.500 0.500 0.000
B: 0.500 0.500 0.500
Te: 0.000 0.500 0.500
Te: 0.500 0.000 0.500

---

6.
AcMg4Ge2 | PBE | optimized geometry

Total magnetization (μB/cell): 0.0
Energy of formation from the pure elements (eV per atom): -0.3866
D(E_F) (states/eV/cell): 4.3
Raw total energy (eV/cell): -44.86
SG: P4_2/mnm (136)

a = 8.648 Å, b = 8.648 Å, c = 4.383 Å
α = 90.00°, β = 90.00°, γ = 90.00°
Fractional coordinates of all 14 atoms:
Ac: 0.000 0.000 0.000
Ac: 0.500 0.500 0.500
Mg: 0.090 0.341 0.500
Mg: 0.159 0.590 0.000
Mg: 0.341 0.090 0.500
Mg: 0.410 0.841 0.000
Mg: 0.590 0.159 0.000
Mg: 0.659 0.910 0.500
Mg: 0.841 0.410 0.000
Mg: 0.910 0.659 0.500
Ge: 0.208 0.792 0.500
Ge: 0.292 0.292 0.000
Ge: 0.708 0.708 0.000
Ge: 0.792 0.208 0.500

---

7.
SrI2N2 | PBE | optimized geometry

Total magnetization (μB/cell): 6.0
Excess energy over the best structure of this formula in the dataset (eV/atom): 2.160
D(E_F) (states/eV/cell): 5.4
Raw total energy (eV/cell): -15.75
SG: P4/mmm (123)
Formation energy (no corrections) (meV per atom): 1136

a = 6.474 Å, b = 6.474 Å, c = 5.224 Å
α = 90.00°, β = 90.00°, γ = 90.00°
Fractional coordinates of all 5 atoms:
Sr: 0.000 0.000 0.000
I: 0.000 0.500 0.000
I: 0.500 0.000 0.000
N: 0.000 0.000 0.500
N: 0.500 0.500 0.500

---

8.
MgZr2Ta | PBE | optimized geometry

Total magnetization (μB/cell): 0.0
Energy of formation from the pure elements (eV per atom): 0.2004
D(E_F) (states/eV/cell): 10.5
Raw total energy (eV/cell): -59.48
SG: C2/m (12)

a = 6.282 Å, b = 9.689 Å, c = 2.825 Å
α = 90.00°, β = 101.85°, γ = 90.00°
Fractional coordinates of all 8 atoms:
Mg: 0.000 0.000 0.000
Mg: 0.500 0.500 0.000
Zr: 0.250 0.250 0.500
Zr: 0.250 0.750 0.500
Zr: 0.750 0.250 0.500
Zr: 0.750 0.750 0.500
Ta: 0.000 0.500 0.000
Ta: 0.500 0.000 0.000

---

9.
Ac4LaIn2 | PBE | optimized geometry

Total magnetization (μB/cell): 0.0
Energy of formation from the pure elements (eV per atom): -0.1941
Excess energy over the best structure of this formula in the dataset (eV/atom): 0.000
D(E_F) (states/eV/cell): 5.9
Raw total energy (eV/cell): -28.20
SG: R-3m (166)

a = 9.369 Å, b = 9.369 Å, c = 9.369 Å
α = 36.91°, β = 36.91°, γ = 36.91°
Fractional coordinates of all 7 atoms:
Ac: 0.084 0.084 0.084
Ac: 0.351 0.351 0.351
Ac: 0.649 0.649 0.649
Ac: 0.916 0.916 0.916
La: 0.500 0.500 0.500
In: 0.219 0.219 0.219
In: 0.781 0.781 0.781

---

10.
HgSb2As | PBE | optimized geometry

Total magnetization (μB/cell): 0.0
Excess energy over the best structure of this formula in the dataset (eV/atom): 0.087
D(E_F) (states/eV/cell): 1.6
Raw total energy (eV/cell): -12.72
SG: Pm (6)
Formation energy (no corrections) (meV per atom): 118

a = 3.142 Å, b = 5.844 Å, c = 5.989 Å
α = 90.00°, β = 93.41°, γ = 90.00°
Fractional coordinates of all 4 atoms:
Hg: 0.000 0.000 0.000
Sb: 0.015 0.500 0.940
Sb: 0.984 0.000 0.495
As: 0.979 0.500 0.492

---

11.
LiPa3Se2S6 | PBE | optimized geometry

Total magnetization (μB/cell): 0.0
Raw total energy (eV/cell): -78.79
SG: C2/m (12)
Formation energy (no corrections) (meV per atom): -1388

a = 7.654 Å, b = 7.654 Å, c = 6.243 Å
α = 94.71°, β = 94.71°, γ = 65.01°
Fractional coordinates of all 12 atoms:
Li: 0.000 0.000 0.000
Pa: 0.000 0.500 0.000
Pa: 0.500 0.000 0.000
Pa: 0.500 0.500 0.500
Se: 0.319 0.319 0.734
Se: 0.681 0.681 0.266
S: 0.177 0.177 0.197
S: 0.188 0.662 0.249
S: 0.338 0.812 0.751
S: 0.662 0.188 0.249
S: 0.812 0.338 0.751
S: 0.823 0.823 0.803

---

12.
Rb2Tl15Pb2 | PBE | optimized geometry

Total magnetization (μB/cell): 0.0
Energy of formation from the pure elements (eV per atom): -0.0285
D(E_F) (states/eV/cell): 11.3
Raw total energy (eV/cell): -45.39
SG: R-3m (166)

a = 8.742 Å, b = 8.742 Å, c = 8.742 Å
α = 82.70°, β = 82.70°, γ = 82.70°
Fractional coordinates of all 19 atoms:
Rb: 0.161 0.161 0.161
Rb: 0.839 0.839 0.839
Tl: 0.000 0.500 0.500
Tl: 0.147 0.147 0.652
Tl: 0.147 0.652 0.147
Tl: 0.208 0.500 0.792
Tl: 0.208 0.792 0.500
Tl: 0.348 0.853 0.853
Tl: 0.500 0.000 0.500
Tl: 0.500 0.208 0.792
Tl: 0.500 0.500 0.000
Tl: 0.500 0.792 0.208
Tl: 0.652 0.147 0.147
Tl: 0.792 0.208 0.500
Tl: 0.792 0.500 0.208
Tl: 0.853 0.348 0.853
Tl: 0.853 0.853 0.348
Pb: 0.403 0.403 0.403
Pb: 0.597 0.597 0.597